Material: AcCrSe2
Method: DFT, GGA-PBE
State: relaxed

a = 4.401 Å, b = 4.401 Å, c = 6.749 Å
α = 70.97°, β = 70.97°, γ = 60.00°
Site moments in Bohr magnetons follow the coordinates.
Fractional positions:
Cr 0.500 0.500 0.500  3.95
Ac 0.000 0.000 0.000  0.04
Se 0.763 0.763 0.711  -0.01
Se 0.237 0.237 0.289  -0.01

Formation energy (no corrections) (eV per atom): -1.017
Raw total energy (eV/f.u.): -24.8
Crystal system: trigonal
SG: R-3m, No. 166